Entry 1:
Material: Al2IrCl
Method: DFT, SCAN
State: single point on PBEsol structure

Total magnetic moment ... 0.0 μB/f.u.
Formation energy without anion corrections ... 0.1030 eV/atom
E above lowest polymorph ... 911.9 meV/atom

a b c (Å): 6.315 6.315 6.315
angles (deg): 90.00 90.00 90.00
Space group Fm-3m (No. 225)
Asymmetric unit:
Al 0.250 0.250 0.250 [8 per cell]
Ir 0.000 0.000 0.000 [4 per cell]
Cl 0.000 0.000 0.500 [4 per cell]


Entry 2:
Material: Al2IrCl
Method: DFT, SCAN
State: single point on PBEsol structure

Total magnetic moment ... 0.0 μB/f.u.
Formation energy without anion corrections ... -0.5551 eV/atom
E above lowest polymorph ... 253.7 meV/atom

a b c (Å): 2.934 2.934 7.347
angles (deg): 90.00 90.00 90.00
Space group P4/mmm (No. 123)
Asymmetric unit:
Al 0.000 0.000 0.212 [2 per cell]
Ir 0.500 0.500 0.000 [1 per cell]
Cl 0.500 0.500 0.500 [1 per cell]